[1]
# Zr2ZnCu

A geometry-optimized Zr2ZnCu structure (PBE, Alexandria).

a b c (Å): 4.7050 4.7050 5.5897
angles (deg): 78.30 78.30 40.20
Closest atoms and distances in Å follow each position.
Fractional coordinates of all 4 atoms:
Cu 0.7500 0.7500 0.7500  6 Zr 2.82-2.87
Zn 0.2500 0.2500 0.2500  6 Zr 2.84-2.87
Zr 0.0034 0.0034 0.9969  3 Cu 2.82-2.87, 3 Zn 2.84-2.87
Zr 0.4966 0.4966 0.5031  3 Cu 2.82-2.87, 3 Zn 2.84-2.87

Summary:
As for the final energy: -22.2 eV for the cell shown. For the formation energy, the calculation gives 0.3 eV per formula unit. The magnetization is 0.0 μB/f.u. Its density of states at the Fermi level is 4.055 states/eV/f.u.

---

[2]
# CePrPI

A geometry-optimized CePrPI structure (PBE, Alexandria).

a b c (Å): 4.1660 4.1661 8.2071
angles (deg): 90.00 104.70 120.00
Closest atoms and distances in Å follow each position.
Fractional coordinates of all 4 atoms:
Ce 0.0998 0.9479 0.0629  3 P 2.83
Pr 0.5048 0.1503 0.6704  3 P 2.88
P 0.3068 0.5513 0.8734  3 Ce 2.83, 3 Pr 2.88
I 0.9665 0.3812 0.3630  3 Ce 3.37, 3 Pr 3.41

Summary:
As for the final energy: -22.9 eV for the cell shown. The magnetization is 1.0 μB/f.u. Its density of states at the Fermi level is 7.018 states/eV/f.u.